Here is an optimized crystal structure of ZrRe2Te from Alexandria via LeMat-Bulk. Energies are from PBE-GGA.

Cell: 3.324 3.324 6.509 Å, 90.00 90.00 90.00°
Sites, in units of the cell vectors:
Zr: 0.000 0.000 0.000
Re: 0.500 0.500 0.254
Re: 0.500 0.500 0.746
Te: 0.000 0.000 0.500

Space-group type: P4/mmm
Formation energy (no corrections): 1.21 eV per formula unit
ρ: 13.651 Mg/m³
N(E_F): 2.6 states/eV/f.u.